Record 1
Computed, not measured: a relaxed structure of Ca8Al2Ga at the GGA-PBE level of DFT.

Output
- Electronic total energy: -28.7 eV/cell
- M_tot: 0.00 μB/atom
- Energy of formation from the pure elements: -0.201 eV/atom

Unit cell a=5.3963 b=7.4666 c=9.6846 alpha=109.85 beta=106.18 gamma=90.00
Closest atoms and distances in Å follow each position.
Fractional coordinates of all 11 atoms:
Ca1 0.9759 0.2144 0.9518  1 Al 3.18, 2 Ga 3.25, 2 Ca 3.55
Ca2 0.3359 0.0473 0.6719  3 Al 3.18-3.39, 1 Ga 3.19
Ca3 0.4019 0.5586 0.8037  1 Ga 3.15, 2 Al 3.32
Ca4 0.0241 0.7856 0.0482  1 Al 3.18, 2 Ga 3.25, 2 Ca 3.55
Ca5 0.2008 0.2952 0.4016  3 Al 3.14-3.49
Ca6 0.5981 0.4414 0.1963  1 Ga 3.15, 2 Al 3.32
Ca7 0.7992 0.7048 0.5984  3 Al 3.14-3.49
Ca8 0.6641 0.9527 0.3281  3 Al 3.18-3.39, 1 Ga 3.19
Al1 0.8218 0.3074 0.6437  9 Ca 3.14-3.49
Al2 0.1782 0.6926 0.3563  9 Ca 3.14-3.49
Ga1 0.5000 0.0000 0.0000  8 Ca 3.15-3.25

---

Record 2
Computed, not measured: a relaxed structure of ScSiHg at the GGA-PBE level of DFT.

Output
- Electronic total energy: -26.3 eV/cell
- ΔE_f (raw): -35.46 kJ/mol of atoms
- M_tot: 0.00 μB/atom
- Energy relative to the lowest polymorph listed for this composition: 0.075 eV/atom

Unit cell a=3.6339 b=3.6339 c=11.3694 alpha=80.80 beta=80.80 gamma=60.00
Closest atoms and distances in Å follow each position.
Fractional coordinates of all 6 atoms:
Sc1 0.5963 0.5963 0.2111  4 Si 2.77-2.91, 3 Hg 2.97
Sc2 0.4037 0.4037 0.7889  4 Si 2.77-2.91, 3 Hg 2.97
Hg1 0.8671 0.8671 0.3987  3 Sc 2.97, 3 Hg 3.09
Hg2 0.1329 0.1329 0.6013  3 Sc 2.97, 3 Hg 3.09
Si1 0.3170 0.3170 0.0490  3 Si 2.37
Si2 0.6830 0.6830 0.9510  3 Si 2.37

---

Record 3
Computed, not measured: a relaxed structure of Ba2SiPb at the GGA-PBE level of DFT.

Output
- Electronic total energy: -25.7 eV/cell
- ΔE_f (raw): 2.70 kJ/mol of atoms
- M_tot: 0.00 μB/atom
- Energy relative to the lowest polymorph listed for this composition: 0.463 eV/atom

Unit cell a=9.3507 b=9.3507 c=7.4762 alpha=51.29 beta=51.29 gamma=90.00
Closest atoms and distances in Å follow each position.
Fractional coordinates of all 8 atoms:
Ba1 0.3750 0.4078 0.7500  2 Si 3.22, 2 Ba 3.54
Ba2 0.1578 0.6250 0.2500  2 Si 3.22, 2 Ba 3.54
Ba3 0.8750 0.8422 0.7500  2 Si 3.22, 2 Ba 3.54
Ba4 0.5922 0.1250 0.2500  2 Si 3.22, 2 Ba 3.54
Pb1 0.7500 0.2500 0.5000  2 Si 3.49, 4 Ba 3.64
Pb2 0.0000 0.0000 0.0000  2 Si 3.49, 4 Ba 3.64
Si1 0.2500 0.7500 0.5000  4 Ba 3.22, 2 Pb 3.49
Si2 0.5000 0.5000 0.0000  4 Ba 3.22, 2 Pb 3.49

---

Record 4
Computed, not measured: a relaxed structure of TmSb4Pd15 at the GGA-PBE level of DFT.

Output
- Electronic total energy: -108.5 eV/cell
- ΔE_f (raw): -46.55 kJ/mol of atoms
- M_tot: 0.00 μB/atom

Unit cell a=4.0766 b=4.0766 c=20.1686 alpha=90.00 beta=90.00 gamma=90.00
Closest atoms and distances in Å follow each position.
Fractional coordinates of all 20 atoms:
Pd1 0.5000 0.5000 0.0000  4 Tm 2.88, 8 Pd 2.90
Pd2 0.5000 0.0000 0.8975  2 Sb 2.82, 8 Pd 2.88-2.90, 2 Tm 2.90
Pd3 0.5000 0.0000 0.6991  8 Pd 2.83-2.88, 4 Sb 2.85-2.89
Pd4 0.0000 0.5000 0.5000  8 Pd 2.86-2.88, 4 Sb 2.87
Pd5 0.5000 0.5000 0.4004  8 Pd 2.86, 4 Sb 2.88
Pd6 0.5000 0.5000 0.5996  8 Pd 2.86, 4 Sb 2.88
Pd7 0.0000 0.5000 0.3009  8 Pd 2.83-2.88, 4 Sb 2.85-2.89
Pd8 0.0000 0.5000 0.1025  2 Sb 2.82, 8 Pd 2.88-2.90, 2 Tm 2.90
Pd9 0.5000 0.0000 0.1025  2 Sb 2.82, 8 Pd 2.88-2.90, 2 Tm 2.90
Pd10 0.0000 0.5000 0.6991  8 Pd 2.83-2.88, 4 Sb 2.85-2.89
Pd11 0.5000 0.5000 0.7967  8 Pd 2.83-2.88, 4 Sb 2.88
Pd12 0.5000 0.5000 0.2033  8 Pd 2.83-2.88, 4 Sb 2.88
Pd13 0.0000 0.5000 0.8975  2 Sb 2.82, 8 Pd 2.88-2.90, 2 Tm 2.90
Pd14 0.5000 0.0000 0.5000  8 Pd 2.86-2.88, 4 Sb 2.87
Pd15 0.5000 0.0000 0.3009  8 Pd 2.83-2.88, 4 Sb 2.85-2.89
Tm1 0.0000 0.0000 0.0000  12 Pd 2.88-2.90
Sb1 0.0000 0.0000 0.3998  12 Pd 2.85-2.88
Sb2 0.0000 0.0000 0.1990  12 Pd 2.82-2.89
Sb3 0.0000 0.0000 0.8010  12 Pd 2.82-2.89
Sb4 0.0000 0.0000 0.6002  12 Pd 2.85-2.88